A geometry-optimized AcVGa3 structure. Source: the Alexandria database, functional GGA-PBE.

Lattice parameters (Å, degrees): 4.852 4.852 4.852 90.00 90.00 90.00
Fractional coordinates of all 5 atoms:
1 Ac 0.000 0.000 0.000
2 V 0.500 0.500 0.500
3 Ga 0.000 0.500 0.500
4 Ga 0.500 0.000 0.500
5 Ga 0.500 0.500 0.000

Results
calculated formation energy = -0.314 eV/atom



A geometry-optimized Cr2CoPCl structure. Source: the Alexandria database, functional GGA-PBE.

Lattice parameters (Å, degrees): 4.489 4.489 4.015 90.00 90.00 90.00
Fractional coordinates of all 5 atoms:
1 Cr 0.000 0.500 0.000
2 Cr 0.500 0.000 0.000
3 Co 0.000 0.000 0.500
4 P 0.500 0.500 0.500
5 Cl 0.000 0.000 0.000

Results
formation energy without anion corrections = 0.85 eV per atom



A geometry-optimized Li7Ag4Pd structure. Source: the Alexandria database, functional GGA-PBE.

Lattice parameters (Å, degrees): 6.811 6.811 7.415 115.78 115.78 40.83
Fractional coordinates of all 12 atoms:
1 Li 0.000 0.000 0.000
2 Li 0.287 0.287 0.770
3 Li 0.302 0.302 0.141
4 Li 0.429 0.429 0.594
5 Li 0.571 0.571 0.406
6 Li 0.698 0.698 0.859
7 Li 0.713 0.713 0.230
8 Ag 0.069 0.069 0.717
9 Ag 0.177 0.177 0.380
10 Ag 0.823 0.823 0.620
11 Ag 0.931 0.931 0.283
12 Pd 0.500 0.500 0.000

Results
calculated formation energy = -0.131 eV/atom



A geometry-optimized KLiAl3 structure. Source: the Alexandria database, functional GGA-PBE.

Lattice parameters (Å, degrees): 5.829 5.829 5.829 90.00 90.00 90.00
Fractional coordinates of all 5 atoms:
1 K 0.000 0.000 0.000
2 Li 0.500 0.500 0.500
3 Al 0.000 0.000 0.500
4 Al 0.000 0.500 0.000
5 Al 0.500 0.000 0.000

Results
calculated formation energy = 1.363 eV/atom
energy relative to the lowest polymorph listed for this composition = 930.1 meV per atom



A geometry-optimized ZrFe2Br structure. Source: the Alexandria database, functional GGA-PBE.

Lattice parameters (Å, degrees): 4.245 4.245 7.493 90.00 90.00 90.00
Fractional coordinates of all 8 atoms:
1 Zr 0.000 0.000 0.000
2 Zr 0.500 0.500 0.500
3 Fe 0.000 0.000 0.500
4 Fe 0.000 0.500 0.250
5 Fe 0.500 0.000 0.750
6 Fe 0.500 0.500 0.000
7 Br 0.000 0.500 0.750
8 Br 0.500 0.000 0.250

Results
energy relative to the lowest polymorph listed for this composition = 448.1 meV per atom
formation energy without anion corrections = 0.46 eV per atom



A geometry-optimized U4Al6Ga7 structure. Source: the Alexandria database, functional GGA-PBE.

Lattice parameters (Å, degrees): 7.500 7.500 7.500 109.47 109.47 109.47
Fractional coordinates of all 17 atoms:
1 U 0.000 0.000 0.500
2 U 0.000 0.500 0.000
3 U 0.500 0.000 0.000
4 U 0.500 0.500 0.500
5 Al 0.000 0.304 0.304
6 Al 0.000 0.696 0.696
7 Al 0.304 0.000 0.304
8 Al 0.304 0.304 0.000
9 Al 0.696 0.000 0.696
10 Al 0.696 0.696 0.000
11 Ga 0.000 0.000 0.000
12 Ga 0.250 0.500 0.750
13 Ga 0.250 0.750 0.500
14 Ga 0.500 0.250 0.750
15 Ga 0.500 0.750 0.250
16 Ga 0.750 0.250 0.500
17 Ga 0.750 0.500 0.250

Results
calculated formation energy = -0.119 eV/atom



A geometry-optimized Pr7Y6Ho16 structure. Source: the Alexandria database, functional GGA-PBE.

Lattice parameters (Å, degrees): 11.233 11.233 11.233 60.00 60.00 60.00
Fractional coordinates of all 29 atoms:
1 Pr 0.000 0.000 0.000
2 Pr 0.000 0.000 0.500
3 Pr 0.000 0.500 0.000
4 Pr 0.000 0.500 0.500
5 Pr 0.500 0.000 0.000
6 Pr 0.500 0.000 0.500
7 Pr 0.500 0.500 0.000
8 Y 0.265 0.265 0.735
9 Y 0.265 0.735 0.265
10 Y 0.265 0.735 0.735
11 Y 0.735 0.265 0.265
12 Y 0.735 0.265 0.735
13 Y 0.735 0.735 0.265
14 Ho 0.043 0.652 0.652
15 Ho 0.127 0.127 0.127
16 Ho 0.127 0.127 0.618
17 Ho 0.127 0.618 0.127
18 Ho 0.348 0.348 0.348
19 Ho 0.348 0.348 0.957
20 Ho 0.348 0.957 0.348
21 Ho 0.382 0.873 0.873
22 Ho 0.618 0.127 0.127
23 Ho 0.652 0.043 0.652
24 Ho 0.652 0.652 0.043
25 Ho 0.652 0.652 0.652
26 Ho 0.873 0.382 0.873
27 Ho 0.873 0.873 0.382
28 Ho 0.873 0.873 0.873
29 Ho 0.957 0.348 0.348

Results
calculated formation energy = 0.252 eV/atom



A geometry-optimized BaTaPb structure. Source: the Alexandria database, functional GGA-PBE.

Lattice parameters (Å, degrees): 5.465 5.465 3.450 90.00 90.00 120.00
Fractional coordinates of all 3 atoms:
1 Ba 0.000 0.000 0.000
2 Ta 0.333 0.667 0.500
3 Pb 0.667 0.333 0.500

Results
calculated formation energy = 0.795 eV/atom
energy relative to the lowest polymorph listed for this composition = 185.1 meV per atom



A geometry-optimized PuMg2Zn2In2 structure. Source: the Alexandria database, functional GGA-PBE.

Lattice parameters (Å, degrees): 8.825 8.825 8.825 30.93 30.93 30.93
Fractional coordinates of all 7 atoms:
1 Pu 0.000 0.000 0.000
2 Mg 0.133 0.133 0.133
3 Mg 0.867 0.867 0.867
4 Zn 0.393 0.393 0.393
5 Zn 0.607 0.607 0.607
6 In 0.255 0.255 0.255
7 In 0.745 0.745 0.745

Results
calculated formation energy = -0.105 eV/atom



A geometry-optimized AcLaCeHg structure. Source: the Alexandria database, functional GGA-PBE.

Lattice parameters (Å, degrees): 8.044 8.044 8.044 90.00 90.00 90.00
Fractional coordinates of all 16 atoms:
1 Ac 0.000 0.000 0.000
2 Ac 0.000 0.500 0.500
3 Ac 0.500 0.000 0.500
4 Ac 0.500 0.500 0.000
5 La 0.250 0.250 0.750
6 La 0.250 0.750 0.250
7 La 0.750 0.250 0.250
8 La 0.750 0.750 0.750
9 Ce 0.250 0.250 0.250
10 Ce 0.250 0.750 0.750
11 Ce 0.750 0.250 0.750
12 Ce 0.750 0.750 0.250
13 Hg 0.000 0.000 0.500
14 Hg 0.000 0.500 0.000
15 Hg 0.500 0.000 0.000
16 Hg 0.500 0.500 0.500

Results
calculated formation energy = 0.040 eV/atom



A geometry-optimized HoPuU structure. Source: the Alexandria database, functional GGA-PBE.

Lattice parameters (Å, degrees): 3.486 3.486 12.037 90.00 90.00 90.00
Fractional coordinates of all 6 atoms:
1 Ho 0.000 0.000 0.000
2 Ho 0.500 0.500 0.500
3 Pu 0.000 0.000 0.292
4 Pu 0.500 0.500 0.792
5 U 0.000 0.000 0.715
6 U 0.500 0.500 0.215

Results
calculated formation energy = 0.233 eV/atom
energy relative to the lowest polymorph listed for this composition = 134.0 meV per atom



A geometry-optimized BaLiPm2Te4 structure. Source: the Alexandria database, functional GGA-PBE.

Lattice parameters (Å, degrees): 7.883 7.883 15.676 90.00 90.00 146.28
Fractional coordinates of all 16 atoms:
1 Ba 0.120 0.880 0.750
2 Ba 0.880 0.120 0.250
3 Li 0.152 0.848 0.250
4 Li 0.848 0.152 0.750
5 Pm 0.372 0.628 0.558
6 Pm 0.372 0.628 0.942
7 Pm 0.628 0.372 0.058
8 Pm 0.628 0.372 0.442
9 Te 0.000 0.000 0.000
10 Te 0.000 0.000 0.500
11 Te 0.268 0.732 0.116
12 Te 0.268 0.732 0.384
13 Te 0.445 0.555 0.750
14 Te 0.555 0.445 0.250
15 Te 0.732 0.268 0.616
16 Te 0.732 0.268 0.884

Results
formation energy without anion corrections = -1.45 eV per atom



A geometry-optimized PmGa3CoTc structure. Source: the Alexandria database, functional GGA-PBE.

Lattice parameters (Å, degrees): 6.432 6.432 5.957 90.00 90.00 108.28
Fractional coordinates of all 12 atoms:
1 Pm 0.230 0.770 0.750
2 Pm 0.770 0.230 0.250
3 Ga 0.255 0.255 0.000
4 Ga 0.255 0.255 0.500
5 Ga 0.290 0.710 0.250
6 Ga 0.710 0.290 0.750
7 Ga 0.745 0.745 0.000
8 Ga 0.745 0.745 0.500
9 Co 0.492 0.508 0.750
10 Co 0.508 0.492 0.250
11 Tc 0.062 0.938 0.250
12 Tc 0.938 0.062 0.750

Results
calculated formation energy = -0.187 eV/atom



A geometry-optimized VCu3Pb structure. Source: the Alexandria database, functional GGA-PBE.

Lattice parameters (Å, degrees): 4.681 4.681 4.681 90.00 90.00 90.00
Fractional coordinates of all 5 atoms:
1 V 0.000 0.000 0.000
2 Cu 0.000 0.000 0.500
3 Cu 0.000 0.500 0.000
4 Cu 0.500 0.000 0.000
5 Pb 0.500 0.500 0.500

Results
calculated formation energy = 1.002 eV/atom
energy relative to the lowest polymorph listed for this composition = 0.0 meV per atom



A geometry-optimized K6Rb5Pb structure. Source: the Alexandria database, functional GGA-PBE.

Lattice parameters (Å, degrees): 12.659 12.659 7.099 106.27 106.27 117.29
Fractional coordinates of all 12 atoms:
1 K 0.068 0.335 0.702
2 K 0.174 0.174 0.174
3 K 0.335 0.068 0.702
4 K 0.665 0.932 0.298
5 K 0.826 0.826 0.826
6 K 0.932 0.665 0.298
7 Rb 0.203 0.797 0.000
8 Rb 0.345 0.655 0.500
9 Rb 0.500 0.500 0.000
10 Rb 0.655 0.345 0.500
11 Rb 0.797 0.203 0.000
12 Pb 0.000 0.000 0.500

Results
calculated formation energy = -0.008 eV/atom



A geometry-optimized La2Nd3Sm6Pu structure. Source: the Alexandria database, functional GGA-PBE.

Lattice parameters (Å, degrees): 6.317 6.317 12.025 95.06 95.06 120.10
Fractional coordinates of all 12 atoms:
1 La 0.167 0.833 0.000
2 La 0.833 0.167 0.000
3 Nd 0.000 0.000 0.500
4 Nd 0.334 0.666 0.500
5 Nd 0.666 0.334 0.500
6 Sm 0.089 0.417 0.752
7 Sm 0.254 0.254 0.248
8 Sm 0.417 0.089 0.752
9 Sm 0.583 0.911 0.248
10 Sm 0.746 0.746 0.752
11 Sm 0.911 0.583 0.248
12 Pu 0.500 0.500 0.000

Results
calculated formation energy = 0.049 eV/atom



A geometry-optimized ZrNbB4 structure. Source: the Alexandria database, functional GGA-PBE.

Lattice parameters (Å, degrees): 3.148 3.148 6.873 90.00 90.00 120.00
Fractional coordinates of all 6 atoms:
1 Zr 0.000 0.000 0.000
2 Nb 0.000 0.000 0.500
3 B 0.333 0.667 0.258
4 B 0.333 0.667 0.742
5 B 0.667 0.333 0.258
6 B 0.667 0.333 0.742

Results
calculated formation energy = -0.853 eV/atom



A geometry-optimized KMg3Ta structure. Source: the Alexandria database, functional GGA-PBE.

Lattice parameters (Å, degrees): 5.629 5.629 5.629 90.00 90.00 90.00
Fractional coordinates of all 5 atoms:
1 K 0.000 0.000 0.000
2 Mg 0.000 0.500 0.500
3 Mg 0.500 0.000 0.500
4 Mg 0.500 0.500 0.000
5 Ta 0.500 0.500 0.500

Results
calculated formation energy = 0.942 eV/atom
energy relative to the lowest polymorph listed for this composition = 0.0 meV per atom